Density functional theory data (GGA-PBE) for a geometry-optimized PrHo2Mg4 structure.

Cell and atoms, written as POSCAR:
```
PrHo2Mg4
1.0
-2.679 2.679 7.447
2.679 -2.679 7.447
2.679 2.679 -7.447
Pr Ho Mg
1 2 4
direct
0.000 0.000 0.000 Pr
0.250 0.250 0.000 Ho
0.750 0.750 0.000 Ho
0.122 0.622 0.500 Mg
0.378 0.878 0.500 Mg
0.622 0.122 0.500 Mg
0.878 0.378 0.500 Mg
```

Values from the calculation:
calculated total energy: -2.762 eV per atom
symmetry: I4/mmm
magnetization: 0.310 μB per formula unit
polymorph energy (0 for the lowest one): 0 meV per atom